DFT (PBE-GGA) results for Ba2CuIr after structural relaxation.

The calculation puts the calculated density at 7.98 Mg/m³. Its formation energy is 294 meV per atom. The value obtained for the energy above the most stable polymorph in this dataset is 440.0 meV/atom. The total energy comes out at -3.91 eV/atom.

abc: 4.6218 4.6218 10.3291
angles: 90.00 90.00 90.00
Closest atoms and distances in Å follow each position.
Space group I-4m2 (No. 119)
One atom of each set of equivalent atoms:
Ba (0.0000, 0.0000, 0.0000)  4 Ir 3.27, 4 Ba 3.47, 4 Cu 3.47
Ba (0.0000, 0.5000, 0.2500)  4 Cu 3.27, 4 Ba 3.47, 4 Ir 3.47
Cu (0.0000, 0.5000, 0.7500)  8 Ba 3.27-3.47, 4 Ir 3.47
Ir (0.0000, 0.0000, 0.5000)  8 Ba 3.27-3.47, 4 Cu 3.47

=====

DFT (PBE-GGA) results for Ba2CuIr after structural relaxation.

The calculation puts the calculated density at 6.30 Mg/m³. Its formation energy is 189 meV per atom. The value obtained for the energy above the most stable polymorph in this dataset is 335.1 meV/atom. The total energy comes out at -4.01 eV/atom.

abc: 7.9573 4.6009 8.0836
angles: 90.00 109.25 90.00
Closest atoms and distances in Å follow each position.
Space group C2/m (No. 12)
One atom of each set of equivalent atoms:
Ba (0.2391, 0.0000, 0.2173)  3 Ir 3.13, 3 Cu 3.42
Cu (0.0000, 0.0000, 0.5000)  6 Ba 3.42
Ir (0.0000, 0.5000, 0.0000)  6 Ba 3.13

=====

DFT (PBE-GGA) results for Ba4Cu2Ir after structural relaxation.

The calculation puts the calculated density at 4.91 Mg/m³. Its formation energy is 84 meV per atom. The total energy comes out at -3.45 eV/atom.

abc: 6.2635 6.2635 14.9734
angles: 90.00 90.00 90.00
Closest atoms and distances in Å follow each position.
Space group I4/mmm (No. 139)
One atom of each set of equivalent atoms:
Ba (0.0000, 0.0000, 0.1985)  1 Ir 2.97, 1 Cu 3.29
Ba (0.0000, 0.5000, 0.0000)  2 Ir 3.13, 4 Cu 3.36
Cu (0.0000, 0.0000, 0.4183)  1 Cu 2.45
Ir (0.0000, 0.0000, 0.0000)  6 Ba 2.97-3.13

=====

DFT (PBE-GGA) results for BaCu2Ir after structural relaxation.

The calculation puts the calculated density at 9.68 Mg/m³. Its formation energy is 501 meV per atom. The value obtained for the energy above the most stable polymorph in this dataset is 543.2 meV/atom. The total energy comes out at -4.24 eV/atom.

abc: 3.2911 5.0877 9.3581
angles: 90.00 90.00 90.00
Closest atoms and distances in Å follow each position.
Space group Imm2 (No. 44)
One atom of each set of equivalent atoms:
Ba (0.0000, 0.0000, 0.0000)  8 Cu 3.03-3.22, 4 Ir 3.18-3.21, 2 Ba 3.29
Cu (0.0000, 0.0000, 0.4959)  2 Cu 2.55, 2 Ir 2.59
Cu (0.0000, 0.5000, 0.7883)  2 Cu 2.55
Ir (0.0000, 0.5000, 0.2097)  2 Cu 2.59

=====

DFT (PBE-GGA) results for BaCu2Ir after structural relaxation.

The calculation puts the calculated density at 7.63 Mg/m³. Its formation energy is 195 meV per atom. The value obtained for the energy above the most stable polymorph in this dataset is 237.2 meV/atom. The total energy comes out at -4.55 eV/atom.

abc: 4.8755 4.1860 4.8800
angles: 90.00 94.19 90.00
Closest atoms and distances in Å follow each position.
Space group Pm (No. 6)
One atom of each set of equivalent atoms:
Ba (0.0000, 0.0000, 0.0000)  7 Cu 3.21-3.59, 4 Ir 3.34-3.37
Cu (0.3019, 0.5000, 0.5397)  2 Ir 2.42-2.49, 2 Cu 2.44
Cu (0.5481, 0.0000, 0.4873)  2 Cu 2.44, 2 Ir 2.44
Ir (0.8052, 0.5000, 0.4814)  4 Cu 2.42-2.49

=====

DFT (PBE-GGA) results for Ba2CuIr after structural relaxation.

The calculation puts the calculated density at 7.17 Mg/m³. Its formation energy is -76 meV per atom. The value obtained for the energy above the most stable polymorph in this dataset is 69.9 meV/atom. The total energy comes out at -4.28 eV/atom.

abc: 4.5906 4.6686 11.4655
angles: 90.00 90.00 90.00
Closest atoms and distances in Å follow each position.
Space group Amm2 (No. 38)
One atom of each set of equivalent atoms:
Ba (0.0000, 0.0000, 0.0000)  2 Cu 3.17, 4 Ir 3.46
Ba (0.5000, 0.0000, 0.2834)  2 Ir 3.17, 4 Cu 3.46
Cu (0.0000, 0.0000, 0.6866)  2 Ir 2.51
Ir (0.5000, 0.0000, 0.5969)  2 Cu 2.51